## Fe2TeIr (PBE-GGA)

Data for a geometry-optimized Fe2TeIr structure.

Crystal system: orthorhombic
Formation energy (no corrections) in eV per atom: 0.31

Cell lengths 4.744, 4.744, 4.863 Å; angles 131.77, 131.77, 68.55 degrees
Atoms (fractional coordinates):
Fe  0.000  0.000  0.000
Ir  0.500  0.500  0.000
Te  0.250  0.750  0.500
Fe  0.750  0.250  0.500


## V3SiTc (PBE-GGA)

Data for a geometry-optimized V3SiTc structure.

Crystal system: cubic
Energy above the most stable polymorph in this dataset in eV per atom: 0.246
Formation energy (no corrections) in eV per atom: 1.13

Cell lengths 4.493, 4.493, 4.493 Å; angles 90.00, 90.00, 90.00 degrees
Atoms (fractional coordinates):
Si  0.500  0.500  0.500
V  0.500  0.000  0.000
V  0.000  0.500  0.000
Tc  0.000  0.000  0.000
V  0.000  0.000  0.500


## Sr2ScAs (PBE-GGA)

Data for a geometry-optimized Sr2ScAs structure.

Crystal system: tetragonal
Formation energy in meV per atom: -323

Cell lengths 11.283, 11.283, 8.389 Å; angles 47.74, 47.74, 90.00 degrees
Atoms (fractional coordinates):
Sr  0.771  0.125  0.250
Sr  0.375  0.229  0.750
Sr  0.875  0.021  0.750
Sc  0.250  0.750  0.500
As  0.750  0.250  0.500
Sc  0.500  0.500  0.000
As  0.000  0.000  0.000
Sr  0.979  0.625  0.250


## YCdInSb2 (PBE-GGA)

Data for a geometry-optimized YCdInSb2 structure.

Crystal system: tetragonal
Formation energy (no corrections) in eV per atom: 0.29

Cell lengths 5.772, 6.071, 5.772 Å; angles 90.00, 90.00, 90.00 degrees
Atoms (fractional coordinates):
Y  0.000  0.000  0.000
Sb  0.500  0.000  0.000
Sb  0.000  0.000  0.500
In  0.000  0.500  0.000
Cd  0.500  0.500  0.500